Record 1
# NiHNO2 (PBE with a Hubbard U, optimized geometry)
data_NiHNO2
_space_group_name_H-M_alt 'P 4/m m m'
_space_group_IT_number 123
_space_group_name_Hall '-P 4 2'
_cell_length_a 2.733
_cell_length_b 2.733
_cell_length_c 6.441
_cell_angle_alpha 90.00
_cell_angle_beta 90.00
_cell_angle_gamma 90.00
loop_
_atom_site_label
_atom_site_fract_x
_atom_site_fract_y
_atom_site_fract_z
Ni1 0.000 0.000 0.000
H1 0.500 0.500 0.500
N1 0.500 0.500 0.000
O1 0.000 0.500 0.500
# Total energy = -3.7113 eV per atom
# Total moment = 0.12 μB per atom
# N(E_F) = 2.71 states/eV per cell


Record 2
# NiHNO2 (PBE with a Hubbard U, optimized geometry)
data_NiHNO2
_space_group_name_H-M_alt 'P 4/m m m'
_space_group_IT_number 123
_space_group_name_Hall '-P 4 2'
_cell_length_a 3.765
_cell_length_b 3.765
_cell_length_c 3.598
_cell_angle_alpha 90.00
_cell_angle_beta 90.00
_cell_angle_gamma 90.00
loop_
_atom_site_label
_atom_site_fract_x
_atom_site_fract_y
_atom_site_fract_z
Ni1 0.000 0.000 0.000
H1 0.500 0.500 0.500
N1 0.000 0.000 0.500
O1 0.000 0.500 0.000
# Total energy = -3.2798 eV per atom
# Total moment = 0.04 μB per atom
# N(E_F) = 6.46 states/eV per cell


Record 3
# NiPH6NO5 (PBE with a Hubbard U, optimized geometry)
data_NiPH6NO5
_space_group_name_H-M_alt 'P m n 21'
_space_group_IT_number 31
_cell_length_a 5.606
_cell_length_b 8.928
_cell_length_c 4.763
_cell_angle_alpha 90.00
_cell_angle_beta 90.00
_cell_angle_gamma 90.00
loop_
_space_group_symop_operation_xyz
'x,y,z'
'-x+1/2,-y,z+1/2'
'-x,y,z'
'x+1/2,-y,z+1/2'
loop_
_atom_site_label
_atom_site_fract_x
_atom_site_fract_y
_atom_site_fract_z
Ni1 0.000 0.020 0.000
P1 0.000 0.810 0.428
H1 0.000 0.544 0.688
H2 0.000 0.549 0.050
H3 0.140 0.185 0.419
H4 0.152 0.412 0.876
N1 0.000 0.478 0.872
O1 0.000 0.199 0.296
O2 0.000 0.638 0.372
O3 0.000 0.837 0.745
O4 0.221 0.885 0.279
# Total energy = -5.6055 eV per atom
# Total moment = 0.14 μB per atom
# N(E_F) = 0.00 states/eV per cell


Record 4
# NiP3H12NO7 (PBE with a Hubbard U, optimized geometry)
data_NiP3H12NO7
_space_group_name_H-M_alt 'P 1 21/c 1'
_space_group_IT_number 14
_cell_length_a 7.432
_cell_length_b 15.070
_cell_length_c 9.803
_cell_angle_alpha 90.00
_cell_angle_beta 116.86
_cell_angle_gamma 90.00
loop_
_space_group_symop_operation_xyz
'x,y,z'
'-x,-y,-z'
'-x,y+1/2,-z+1/2'
'x,-y+1/2,z+1/2'
loop_
_atom_site_label
_atom_site_fract_x
_atom_site_fract_y
_atom_site_fract_z
Ni1 0.007 0.171 0.405
P1 0.098 0.652 0.454
P2 0.229 0.170 0.806
P3 0.418 0.573 0.228
H1 0.091 0.112 0.824
H2 0.112 0.135 0.114
H3 0.154 0.004 0.455
H4 0.188 0.570 0.519
H5 0.242 0.047 0.350
H6 0.318 0.688 0.784
H7 0.322 0.646 0.946
H8 0.368 0.529 0.334
H9 0.419 0.128 0.890
H10 0.441 0.592 0.860
H11 0.464 0.190 0.545
H12 0.495 0.155 0.200
N1 0.406 0.655 0.887
O1 0.130 0.051 0.379
O2 0.151 0.716 0.588
O3 0.162 0.679 0.332
O4 0.186 0.172 0.640
O5 0.223 0.593 0.081
O6 0.240 0.243 0.390
O7 0.424 0.019 0.294
# Total energy = -5.2170 eV per atom
# Total moment = 0.08 μB per atom
# N(E_F) = 0.00 states/eV per cell


Record 5
# NiH8S2N4O8 (PBE with a Hubbard U, optimized geometry)
data_NiH8S2N4O8
_space_group_name_H-M_alt 'P -1'
_space_group_IT_number 2
_cell_length_a 5.016
_cell_length_b 6.350
_cell_length_c 7.906
_cell_angle_alpha 85.67
_cell_angle_beta 72.27
_cell_angle_gamma 89.01
loop_
_space_group_symop_operation_xyz
'x,y,z'
'-x,-y,-z'
loop_
_atom_site_label
_atom_site_fract_x
_atom_site_fract_y
_atom_site_fract_z
Ni1 0.000 0.000 0.000
H1 0.024 0.878 0.331
H2 0.069 0.531 0.272
H3 0.297 0.477 0.725
H4 0.336 0.124 0.666
S1 0.391 0.199 0.198
N1 0.123 0.397 0.715
N2 0.136 0.189 0.706
O1 0.150 0.214 0.123
O2 0.344 0.819 0.949
O3 0.350 0.011 0.330
O4 0.391 0.398 0.286
# Total energy = -5.5162 eV per atom
# Total moment = 0.17 μB per atom


- Look up the total moment of the first one.
  0.12 μB per atom


What did the fifth record say?
# NiH8S2N4O8 (PBE with a Hubbard U, optimized geometry)
data_NiH8S2N4O8
_space_group_name_H-M_alt 'P -1'
_space_group_IT_number 2
_cell_length_a 5.016
_cell_length_b 6.350
_cell_length_c 7.906
_cell_angle_alpha 85.67
_cell_angle_beta 72.27
_cell_angle_gamma 89.01
loop_
_space_group_symop_operation_xyz
'x,y,z'
'-x,-y,-z'
loop_
_atom_site_label
_atom_site_fract_x
_atom_site_fract_y
_atom_site_fract_z
Ni1 0.000 0.000 0.000
H1 0.024 0.878 0.331
H2 0.069 0.531 0.272
H3 0.297 0.477 0.725
H4 0.336 0.124 0.666
S1 0.391 0.199 0.198
N1 0.123 0.397 0.715
N2 0.136 0.189 0.706
O1 0.150 0.214 0.123
O2 0.344 0.819 0.949
O3 0.350 0.011 0.330
O4 0.391 0.398 0.286
# Total energy = -5.5162 eV per atom
# Total moment = 0.17 μB per atom


Repeat the second record exactly.
# NiHNO2 (PBE with a Hubbard U, optimized geometry)
data_NiHNO2
_space_group_name_H-M_alt 'P 4/m m m'
_space_group_IT_number 123
_space_group_name_Hall '-P 4 2'
_cell_length_a 3.765
_cell_length_b 3.765
_cell_length_c 3.598
_cell_angle_alpha 90.00
_cell_angle_beta 90.00
_cell_angle_gamma 90.00
loop_
_atom_site_label
_atom_site_fract_x
_atom_site_fract_y
_atom_site_fract_z
Ni1 0.000 0.000 0.000
H1 0.500 0.500 0.500
N1 0.000 0.000 0.500
O1 0.000 0.500 0.000
# Total energy = -3.2798 eV per atom
# Total moment = 0.04 μB per atom
# N(E_F) = 6.46 states/eV per cell